Entry from Alexandria: a relaxed structure of MgFe8O8F8 (PBE+U).

Summary:
Its space group is P1 (1). The offset from the most stable computed form comes out at 0 meV per atom. The calculation puts the uncorrected energy at -5.928 eV/atom. As for the magnetic moment: 1.4404 μB/atom.

Cell: 5.0812 5.3145 11.6491 Å, 89.54 89.66 88.55°
Site moments in Bohr magnetons follow the coordinates.
Sites, in units of the cell vectors:
F (0.8004, 0.8790, 0.8687)  0.08
F (0.7659, 0.8330, 0.6193)  0.06
F (0.7421, 0.3730, 0.9978)  0.14
F (0.6785, 0.2931, 0.4814)  0.12
F (0.2941, 0.6727, 0.7662)  0.07
F (0.3060, 0.6807, 0.2461)  0.14
F (0.1949, 0.1522, 0.1223)  0.09
F (0.8145, 0.8360, 0.3712)  0.05
Fe (0.5801, 0.5850, 0.1300)  4.36
Fe (0.0044, 0.2002, 0.7510)  3.78
Fe (0.9440, 0.0570, 0.2476)  3.13
Fe (0.4662, 0.4695, 0.6127)  3.80
Fe (0.4217, 0.4222, 0.3659)  4.37
Fe (0.0658, 0.9311, 0.9982)  4.40
Fe (0.4501, 0.4347, 0.8891)  4.36
Fe (0.0635, 0.9406, 0.4989)  4.39
O (0.2797, 0.6447, 0.4864)  0.28
O (0.8144, 0.8592, 0.1219)  0.19
O (0.6515, 0.3287, 0.7534)  0.14
O (0.2526, 0.1354, 0.8819)  0.26
O (0.2367, 0.1174, 0.6240)  0.18
O (0.3173, 0.6555, 0.0067)  0.32
O (0.6767, 0.3399, 0.2434)  0.29
O (0.1643, 0.1628, 0.3678)  0.16
Mg (0.5147, 0.9684, 0.7405)  0.00